Entry from the Alexandria database: ScCo2Rh after structural relaxation (PBEsol).

Structure (POSCAR):
```
ScCo2Rh
1.0
-1.858 -0.165 -2.193
-0.464 -4.260 0.714
-2.027 2.930 3.385
Co Rh Sc
2 1 1
direct
0.018 0.072 0.036
0.739 0.174 0.478
0.486 0.536 0.973
0.257 0.717 0.513
```

Results
mass density = 8.392 g cm⁻³
raw total energy = -30.83 eV/cell
total magnetic moment = 0.6776 μB per atom
symmetry = Cm, No. 8
formation enthalpy at 0 K = -14.7 kJ/mol of atoms